1.
# CsSrRhO4

A relaxed structure of CsSrRhO4 (GGA-PBE, Alexandria via LeMat-Bulk).

Results
**ΔE_f (raw)**: -1.391 eV/atom
**Total magnetic moment**: 0.00 Bohr magnetons per cell

Cell lengths 6.338, 6.119, 8.064 Å; angles 90.00, 106.92, 90.00 degrees
Space group P2_1/m (No. 11)
Asymmetric unit:
Cs1 0.219 0.250 0.436 (multiplicity 2)
Sr1 0.296 0.250 0.957 (multiplicity 2)
Rh1 0.240 0.750 0.164 (multiplicity 2)
O1 0.069 0.750 0.936 (multiplicity 2)
O2 0.071 0.750 0.313 (multiplicity 2)
O3 0.458 0.530 0.187 (multiplicity 4)

=====

2.
# CsSrRhO3

A relaxed structure of CsSrRhO3 (GGA-PBE, Alexandria via LeMat-Bulk).

Results
**ΔE_f (raw)**: -1.546 eV/atom
**Total magnetic moment**: 8.08 Bohr magnetons per cell

Cell lengths 13.760, 4.017, 8.451 Å; angles 90.00, 105.33, 90.00 degrees
Space group C2/m (No. 12)
Asymmetric unit:
Cs1 0.142 0.000 0.066 (multiplicity 4)
Sr1 0.151 0.000 0.572 (multiplicity 4)
Rh1 0.007 0.500 0.298 (multiplicity 4)
O1 0.007 0.000 0.307 (multiplicity 4)
O2 0.139 0.500 0.764 (multiplicity 4)
O3 0.156 0.500 0.374 (multiplicity 4)

=====

3.
# Cs2TbRhO4

A relaxed structure of Cs2TbRhO4 (GGA-PBE, Alexandria via LeMat-Bulk).

Results
**ΔE_f (raw)**: -1.456 eV/atom
**Total magnetic moment**: 16.05 Bohr magnetons per cell

Cell lengths 5.912, 13.811, 23.895 Å; angles 90.00, 90.00, 90.00 degrees
Space group Fddd (No. 70, origin choice 2)
Asymmetric unit:
Cs1 0.125 0.125 0.314 (multiplicity 16)
Tb1 0.125 0.125 0.125 (multiplicity 8)
Rh1 0.125 0.125 0.625 (multiplicity 8)
O1 0.106 0.276 0.852 (multiplicity 32)

=====

4.
# Cs3Tb3RhO8

A relaxed structure of Cs3Tb3RhO8 (GGA-PBE, Alexandria via LeMat-Bulk).

Results
**ΔE_f (raw)**: -2.225 eV/atom
**Total magnetic moment**: 3.20 Bohr magnetons per cell

Cell lengths 6.9110, 6.9110, 20.7413 Å; angles 90.00, 90.00, 120.00 degrees
Space group R-3m (No. 166, hexagonal axes)
Asymmetric unit:
Cs1 0.0000 0.5000 0.0000 (multiplicity 9)
Tb1 0.0000 0.5000 0.5000 (multiplicity 9)
Rh1 0.0000 0.0000 0.5000 (multiplicity 3)
O1 0.0000 0.0000 0.2204 (multiplicity 6)
O2 0.0259 0.5130 0.2185 (multiplicity 18)

=====

5.
# CsTe2RhO8

A relaxed structure of CsTe2RhO8 (GGA-PBE, Alexandria via LeMat-Bulk).

Results
**ΔE_f (raw)**: -0.919 eV/atom
**Total magnetic moment**: 0.00 Bohr magnetons per cell

Cell lengths 5.3177, 5.3177, 9.3434 Å; angles 90.00, 90.00, 120.00 degrees
Space group P-3 (No. 147)
Asymmetric unit:
Cs1 0.0000 0.0000 0.0000 (multiplicity 1)
Te1 0.3333 0.6667 0.6778 (multiplicity 2)
Rh1 0.0000 0.0000 0.5000 (multiplicity 1)
O1 0.0017 0.3073 0.6276 (multiplicity 6)
O2 0.3333 0.6667 0.8728 (multiplicity 2)

=====

6.
# CsThRhO4

A relaxed structure of CsThRhO4 (GGA-PBE, Alexandria via LeMat-Bulk).

Results
**ΔE_f (raw)**: -1.927 eV/atom
**Total magnetic moment**: 0.00 Bohr magnetons per cell

Cell lengths 6.923, 7.646, 9.334 Å; angles 90.00, 90.00, 90.00 degrees
Space group Imma (No. 74)
Asymmetric unit:
Cs1 0.000 0.250 0.145 (multiplicity 4)
Th1 0.000 0.000 0.500 (multiplicity 4)
Rh1 0.250 0.250 0.750 (multiplicity 4)
O1 0.000 0.083 0.743 (multiplicity 8)
O2 0.196 0.250 0.521 (multiplicity 8)